## NiMoSe2 (PBE-GGA)

Data for NiMoSe2 after structural relaxation.

Properties
The distance to the lowest polymorph of the same formula comes out at 0.361 eV per atom. The calculation puts the formation energy without anion corrections at 0.05 eV per atom. The calculation puts the total energy at -46.76 eV per cell.

```
data_NiMoSe2
_space_group_name_H-M_alt 'C 1 2/m 1'
_space_group_IT_number 12
_space_group_name_Hall '-C 2y'
_cell_length_a 8.068
_cell_length_b 3.223
_cell_length_c 5.181
_cell_angle_alpha 90.00
_cell_angle_beta 94.91
_cell_angle_gamma 90.00
loop_
_atom_site_label
_atom_site_fract_x
_atom_site_fract_y
_atom_site_fract_z
Ni1 0.000 0.000 0.000
Mo1 0.000 0.500 0.500
Se1 0.209 0.000 0.733
```



## TlICl4 (PBE-GGA)

Data for TlICl4 after structural relaxation.

Properties
The distance to the lowest polymorph of the same formula comes out at 0.012 eV per atom. The calculation puts the formation energy without anion corrections at -0.48 eV per atom. The calculation puts the total energy at -56.70 eV per cell.

```
data_TlICl4
_space_group_name_H-M_alt 'C 1 2/c 1'
_space_group_IT_number 15
_space_group_name_Hall '-C 2yc'
_cell_length_a 7.866
_cell_length_b 18.412
_cell_length_c 6.763
_cell_angle_alpha 90.00
_cell_angle_beta 95.93
_cell_angle_gamma 90.00
loop_
_atom_site_label
_atom_site_fract_x
_atom_site_fract_y
_atom_site_fract_z
Tl1 0.000 0.052 0.250
I1 0.000 0.347 0.750
Cl1 0.185 0.159 0.112
Cl2 0.194 0.047 0.593
```



## Na2Tl3OsO6 (PBE-GGA)

Data for Na2Tl3OsO6 after structural relaxation.

Properties
The calculation puts the formation energy without anion corrections at -1.05 eV per atom. The calculation puts the total energy at -126.74 eV per cell.

```
data_Na2Tl3OsO6
_space_group_name_H-M_alt 'C 1 2/m 1'
_space_group_IT_number 12
_space_group_name_Hall '-C 2y'
_cell_length_a 6.002
_cell_length_b 10.506
_cell_length_c 6.267
_cell_angle_alpha 90.00
_cell_angle_beta 105.48
_cell_angle_gamma 90.00
loop_
_atom_site_label
_atom_site_fract_x
_atom_site_fract_y
_atom_site_fract_z
Na1 0.000 0.169 0.000
Tl1 0.000 0.000 0.500
Tl2 0.000 0.332 0.500
Os1 0.000 0.500 0.000
O1 0.192 0.371 0.172
O2 0.192 0.500 0.788
```



## Sr3CuNi3 (PBE-GGA)

Data for Sr3CuNi3 after structural relaxation.

Properties
For the energy of formation, the calculation gives -0.028 eV per atom. The calculation puts the total energy at -106.73 eV per cell.

```
data_Sr3CuNi3
_space_group_name_H-M_alt 'C m c m'
_space_group_IT_number 63
_space_group_name_Hall '-C 2c 2'
_cell_length_a 4.409
_cell_length_b 10.775
_cell_length_c 13.244
_cell_angle_alpha 90.00
_cell_angle_beta 90.00
_cell_angle_gamma 90.00
loop_
_atom_site_label
_atom_site_fract_x
_atom_site_fract_y
_atom_site_fract_z
Sr1 0.000 0.019 0.250
Sr2 0.000 0.269 0.604
Cu1 0.000 0.000 0.000
Ni1 0.000 0.339 0.250
Ni2 0.000 0.442 0.082
```



## LiGeB (PBE-GGA)

Data for LiGeB after structural relaxation.

Properties
For the energy of formation, the calculation gives 0.129 eV per atom. The calculation puts the total energy at -51.29 eV per cell.

```
data_LiGeB
_space_group_name_H-M_alt 'C 1 2 1'
_space_group_IT_number 5
_space_group_name_Hall 'C 2y'
_cell_length_a 6.845
_cell_length_b 7.033
_cell_length_c 4.365
_cell_angle_alpha 90.00
_cell_angle_beta 119.89
_cell_angle_gamma 90.00
loop_
_atom_site_label
_atom_site_fract_x
_atom_site_fract_y
_atom_site_fract_z
Li1 0.244 0.000 0.063
Ge1 0.138 0.720 0.383
B1 0.107 0.019 0.468
```



## TaTl2Cr2Te6 (PBE-GGA)

Data for TaTl2Cr2Te6 after structural relaxation.

Properties
The calculation puts the formation energy without anion corrections at -0.21 eV per atom. The calculation puts the total energy at -113.98 eV per cell.

```
data_TaTl2Cr2Te6
_space_group_name_H-M_alt 'C 1 2/m 1'
_space_group_IT_number 12
_space_group_name_Hall '-C 2y'
_cell_length_a 6.962
_cell_length_b 12.061
_cell_length_c 8.506
_cell_angle_alpha 90.00
_cell_angle_beta 105.37
_cell_angle_gamma 90.00
loop_
_atom_site_label
_atom_site_fract_x
_atom_site_fract_y
_atom_site_fract_z
Ta1 0.000 0.000 0.000
Tl1 0.000 0.162 0.500
Cr1 0.000 0.331 0.000
Te1 0.222 0.500 0.189
Te2 0.231 0.168 0.190
```



## AlNi3 (PBE-GGA)

Data for AlNi3 after structural relaxation.

Properties
For the energy of formation, the calculation gives -0.264 eV per atom. The calculation puts the total energy at -44.28 eV per cell.

```
data_AlNi3
_space_group_name_H-M_alt 'P m -3 n'
_space_group_IT_number 223
_space_group_name_Hall '-P 4n 2 3'
_cell_length_a 4.531
_cell_length_b 4.531
_cell_length_c 4.531
_cell_angle_alpha 90.00
_cell_angle_beta 90.00
_cell_angle_gamma 90.00
loop_
_atom_site_label
_atom_site_fract_x
_atom_site_fract_y
_atom_site_fract_z
Al1 0.000 0.000 0.000
Ni1 0.000 0.250 0.500
```



## Mn4BeV (PBE-GGA)

Data for Mn4BeV after structural relaxation.

Properties
For the energy of formation, the calculation gives 0.073 eV per atom. The distance to the lowest polymorph of the same formula comes out at 0.000 eV per atom. The calculation puts the total energy at -196.34 eV per cell.

```
data_Mn4BeV
_space_group_name_H-M_alt 'F -4 3 m'
_space_group_IT_number 216
_space_group_name_Hall 'F -4 2 3'
_cell_length_a 6.489
_cell_length_b 6.489
_cell_length_c 6.489
_cell_angle_alpha 90.00
_cell_angle_beta 90.00
_cell_angle_gamma 90.00
loop_
_atom_site_label
_atom_site_fract_x
_atom_site_fract_y
_atom_site_fract_z
Mn1 0.124 0.124 0.376
Be1 0.250 0.250 0.750
V1 0.000 0.000 0.000
```



## TaV3Co (PBE-GGA)

Data for TaV3Co after structural relaxation.

Properties
For the energy of formation, the calculation gives 1.803 eV per atom. The distance to the lowest polymorph of the same formula comes out at 1.663 eV per atom. The calculation puts the total energy at -37.30 eV per cell.

```
data_TaV3Co
_space_group_name_H-M_alt 'P m -3 m'
_space_group_IT_number 221
_space_group_name_Hall '-P 4 2 3'
_cell_length_a 4.578
_cell_length_b 4.578
_cell_length_c 4.578
_cell_angle_alpha 90.00
_cell_angle_beta 90.00
_cell_angle_gamma 90.00
loop_
_atom_site_label
_atom_site_fract_x
_atom_site_fract_y
_atom_site_fract_z
Ta1 0.000 0.000 0.000
V1 0.000 0.000 0.500
Co1 0.500 0.500 0.500
```



## Zr3Al3Ni2 (PBE-GGA)

Data for Zr3Al3Ni2 after structural relaxation.

Properties
For the energy of formation, the calculation gives -0.224 eV per atom. The distance to the lowest polymorph of the same formula comes out at 0.304 eV per atom. The calculation puts the total energy at -100.45 eV per cell.

```
data_Zr3Al3Ni2
_space_group_name_H-M_alt 'P 63/m c m'
_space_group_IT_number 193
_space_group_name_Hall '-P 6c 2'
_cell_length_a 7.8954
_cell_length_b 7.8954
_cell_length_c 5.2576
_cell_angle_alpha 90.00
_cell_angle_beta 90.00
_cell_angle_gamma 120.00
loop_
_atom_site_label
_atom_site_fract_x
_atom_site_fract_y
_atom_site_fract_z
Zr1 0.0000 0.4193 0.2500
Al1 0.0000 0.2034 0.7500
Ni1 0.3333 0.6667 0.0000
```



## Tm3Ga7Cu4 (PBE-GGA)

Data for Tm3Ga7Cu4 after structural relaxation.

Properties
For the energy of formation, the calculation gives -0.459 eV per atom. The calculation puts the total energy at -114.84 eV per cell.

```
data_Tm3Ga7Cu4
_space_group_name_H-M_alt 'C 1 2/m 1'
_space_group_IT_number 12
_space_group_name_Hall '-C 2y'
_cell_length_a 15.450
_cell_length_b 4.170
_cell_length_c 9.365
_cell_angle_alpha 90.00
_cell_angle_beta 127.19
_cell_angle_gamma 90.00
loop_
_atom_site_label
_atom_site_fract_x
_atom_site_fract_y
_atom_site_fract_z
Tm1 0.000 0.000 0.000
Tm2 0.191 0.500 0.695
Ga1 0.000 0.000 0.500
Ga2 0.000 0.500 0.289
Ga3 0.154 0.000 0.422
Ga4 0.169 0.500 0.035
Cu1 0.135 0.000 0.860
Cu2 0.157 0.500 0.283
```



## Ba3Ca2BiO8 (PBE-GGA)

Data for Ba3Ca2BiO8 after structural relaxation.

Properties
The calculation puts the formation energy without anion corrections at -2.06 eV per atom. The calculation puts the total energy at -82.14 eV per cell.

```
data_Ba3Ca2BiO8
_space_group_name_H-M_alt 'P -3 m 1'
_space_group_IT_number 164
_space_group_name_Hall '-P 3 2"'
_cell_length_a 6.2043
_cell_length_b 6.2043
_cell_length_c 7.9359
_cell_angle_alpha 90.00
_cell_angle_beta 90.00
_cell_angle_gamma 120.00
loop_
_atom_site_label
_atom_site_fract_x
_atom_site_fract_y
_atom_site_fract_z
Ba1 0.0000 0.0000 0.0000
Ba2 0.3333 0.6667 0.6248
Ca1 0.3333 0.6667 0.1963
Bi1 0.0000 0.0000 0.5000
O1 0.1582 0.3164 0.3381
O2 0.3333 0.6667 0.9291
```



## Al2AgGe (PBE-GGA)

Data for Al2AgGe after structural relaxation.

Properties
For the energy of formation, the calculation gives 0.135 eV per atom. The calculation puts the total energy at -14.41 eV per cell.

```
data_Al2AgGe
_space_group_name_H-M_alt 'P 4/m m m'
_space_group_IT_number 123
_space_group_name_Hall '-P 4 2'
_cell_length_a 4.147
_cell_length_b 4.147
_cell_length_c 4.121
_cell_angle_alpha 90.00
_cell_angle_beta 90.00
_cell_angle_gamma 90.00
loop_
_atom_site_label
_atom_site_fract_x
_atom_site_fract_y
_atom_site_fract_z
Al1 0.000 0.500 0.000
Ag1 0.000 0.000 0.500
Ge1 0.500 0.500 0.500
```



## Ac2PuRh2 (PBE-GGA)

Data for Ac2PuRh2 after structural relaxation.

Properties
For the energy of formation, the calculation gives -0.519 eV per atom. The calculation puts the total energy at -159.38 eV per cell.

```
data_Ac2PuRh2
_space_group_name_H-M_alt 'C 1 2/c 1'
_space_group_IT_number 15
_space_group_name_Hall '-C 2yc'
_cell_length_a 11.127
_cell_length_b 6.318
_cell_length_c 7.917
_cell_angle_alpha 90.00
_cell_angle_beta 101.80
_cell_angle_gamma 90.00
loop_
_atom_site_label
_atom_site_fract_x
_atom_site_fract_y
_atom_site_fract_z
Ac1 0.152 0.119 0.151
Pu1 0.000 0.394 0.750
Rh1 0.140 0.371 0.511
```



## PrMg2Bi2 (PBE-GGA)

Data for PrMg2Bi2 after structural relaxation.

Properties
For the energy of formation, the calculation gives -0.449 eV per atom. The calculation puts the total energy at -71.89 eV per cell.

```
data_PrMg2Bi2
_space_group_name_H-M_alt 'C m c m'
_space_group_IT_number 63
_space_group_name_Hall '-C 2c 2'
_cell_length_a 4.546
_cell_length_b 27.421
_cell_length_c 4.567
_cell_angle_alpha 90.00
_cell_angle_beta 90.00
_cell_angle_gamma 90.00
loop_
_atom_site_label
_atom_site_fract_x
_atom_site_fract_y
_atom_site_fract_z
Pr1 0.000 0.156 0.250
Mg1 0.000 0.039 0.750
Mg2 0.000 0.458 0.750
Bi1 0.000 0.250 0.750
Bi2 0.000 0.380 0.250
```



## Na2AgGeO (PBE-GGA)

Data for Na2AgGeO after structural relaxation.

Properties
The calculation puts the formation energy without anion corrections at 0.00 eV per atom. The calculation puts the total energy at -15.08 eV per cell.

```
data_Na2AgGeO
_space_group_name_H-M_alt 'P 4/m m m'
_space_group_IT_number 123
_space_group_name_Hall '-P 4 2'
_cell_length_a 5.829
_cell_length_b 5.829
_cell_length_c 3.880
_cell_angle_alpha 90.00
_cell_angle_beta 90.00
_cell_angle_gamma 90.00
loop_
_atom_site_label
_atom_site_fract_x
_atom_site_fract_y
_atom_site_fract_z
Na1 0.000 0.500 0.000
Ag1 0.000 0.000 0.500
Ge1 0.500 0.500 0.000
O1 0.500 0.500 0.500
```



## ZrF4 (PBE-GGA)

Data for ZrF4 after structural relaxation.

Properties
The calculation puts the formation energy without anion corrections at -3.53 eV per atom. The calculation puts the total energy at -33.68 eV per cell.

```
data_ZrF4
_space_group_name_H-M_alt 'P 4/m m m'
_space_group_IT_number 123
_space_group_name_Hall '-P 4 2'
_cell_length_a 4.229
_cell_length_b 4.229
_cell_length_c 47.245
_cell_angle_alpha 90.00
_cell_angle_beta 90.00
_cell_angle_gamma 90.00
loop_
_atom_site_label
_atom_site_fract_x
_atom_site_fract_y
_atom_site_fract_z
Zr1 0.000 0.000 0.000
F1 0.000 0.000 0.041
F2 0.000 0.500 0.000
```



## LiPtSCl2 (PBE-GGA)

Data for LiPtSCl2 after structural relaxation.

Properties
The distance to the lowest polymorph of the same formula comes out at 0.690 eV per atom. The calculation puts the formation energy without anion corrections at 0.31 eV per atom. The calculation puts the total energy at -14.23 eV per cell.

```
data_LiPtSCl2
_space_group_name_H-M_alt 'P 4/m m m'
_space_group_IT_number 123
_space_group_name_Hall '-P 4 2'
_cell_length_a 4.003
_cell_length_b 4.003
_cell_length_c 7.511
_cell_angle_alpha 90.00
_cell_angle_beta 90.00
_cell_angle_gamma 90.00
loop_
_atom_site_label
_atom_site_fract_x
_atom_site_fract_y
_atom_site_fract_z
Li1 0.000 0.000 0.000
Pt1 0.500 0.500 0.500
S1 0.000 0.000 0.500
Cl1 0.000 0.500 0.000
```



## NiGe2Pb (PBE-GGA)

Data for NiGe2Pb after structural relaxation.

Properties
For the energy of formation, the calculation gives 0.158 eV per atom. The calculation puts the total energy at -72.36 eV per cell.

```
data_NiGe2Pb
_space_group_name_H-M_alt 'I -4 2 d'
_space_group_IT_number 122
_space_group_name_Hall 'I -4 2bw'
_cell_length_a 4.818
_cell_length_b 4.818
_cell_length_c 15.422
_cell_angle_alpha 90.00
_cell_angle_beta 90.00
_cell_angle_gamma 90.00
loop_
_atom_site_label
_atom_site_fract_x
_atom_site_fract_y
_atom_site_fract_z
Ni1 0.000 0.000 0.000
Ge1 0.125 0.250 0.125
Pb1 0.000 0.000 0.500
```



## HgGeTeO6 (PBE-GGA)

Data for HgGeTeO6 after structural relaxation.

Properties
The calculation puts the formation energy without anion corrections at -1.04 eV per atom. The calculation puts the total energy at -94.37 eV per cell.

```
data_HgGeTeO6
_space_group_name_H-M_alt 'P -3 1 c'
_space_group_IT_number 163
_space_group_name_Hall '-P 3 2c'
_cell_length_a 5.1537
_cell_length_b 5.1537
_cell_length_c 10.1442
_cell_angle_alpha 90.00
_cell_angle_beta 90.00
_cell_angle_gamma 120.00
loop_
_atom_site_label
_atom_site_fract_x
_atom_site_fract_y
_atom_site_fract_z
Hg1 0.0000 0.0000 0.0000
Ge1 0.3333 0.6667 0.2500
Te1 0.3333 0.6667 0.7500
O1 0.0046 0.3784 0.1438
```